Below is crystalline IrRhSCl2 at its relaxed geometry, with properties calculated at the PBE level.

```
data_IrRhSCl2
_chemical_formula_sum 'Ir1 Rh1 S1 Cl2'
_cell_length_a 4.694
_cell_length_b 4.694
_cell_length_c 4.637
_cell_angle_alpha 90.00
_cell_angle_beta 90.00
_cell_angle_gamma 90.00
_symmetry_space_group_name_H-M 'P 4/m m m'
_symmetry_Int_Tables_number 123
_symmetry_space_group_name_Hall '-P 4 2'
loop_
_atom_site_label
_atom_site_fract_x
_atom_site_fract_y
_atom_site_fract_z
_atom_site_occupancy
Ir1 0.000 0.000 0.000 1
Rh1 0.500 0.500 0.500 1
S1 0.500 0.500 0.000 1
Cl1 0.000 0.500 0.500 1
```

N(E_F) in states/eV/f.u.: 7.81
Energy above the most stable polymorph in this dataset in eV/atom: 0.252
E_form (uncorrected) in eV/atom: 0.989